NbTe5Pd: optimized geometry, PBE-GGA.

Computed properties:
Fermi-level density of states in states/eV/f.u.: 2.28
Energy above the lowest structure with this stoichiometry in eV/atom: 0.0000

```
NbTe5Pd
1.0
3.760 0.000 0.000
0.000 13.605 0.000
0.000 0.000 15.856
Te Nb Pd
20 4 4
Direct
0.750 0.858 0.824
0.250 0.643 0.560
0.250 0.588 0.159
0.750 0.143 0.940
0.250 0.151 0.504
0.250 0.647 0.764
0.750 0.088 0.341
0.750 0.412 0.841
0.250 0.857 0.060
0.250 0.349 0.004
0.250 0.358 0.676
0.750 0.353 0.236
0.750 0.849 0.496
0.750 0.651 0.996
0.750 0.642 0.324
0.250 0.142 0.176
0.750 0.147 0.736
0.750 0.357 0.440
0.250 0.853 0.264
0.250 0.912 0.659
0.250 0.253 0.839
0.750 0.747 0.161
0.750 0.753 0.661
0.250 0.247 0.339
0.750 0.255 0.589
0.250 0.745 0.411
0.250 0.755 0.911
0.750 0.245 0.089
```

***

Nb2Te6Pd: optimized geometry, PBE-GGA.

Computed properties:
Fermi-level density of states in states/eV/f.u.: 6.07
Electronic total energy in eV per cell: -92.2

```
Nb2Te6Pd
1.0
-1.286 -3.479 -5.477
4.412 -4.563 1.862
-8.554 -5.917 5.768
Nb Pd Te
4 2 12
Direct
0.500 0.500 0.352
0.000 0.000 0.148
0.500 0.500 0.648
0.000 0.000 0.852
0.500 0.500 0.000
0.000 0.000 0.500
0.197 0.803 0.674
0.782 0.218 0.000
0.803 0.197 0.674
0.303 0.303 0.174
0.282 0.282 0.500
0.218 0.782 0.000
0.197 0.803 0.326
0.697 0.697 0.826
0.303 0.303 0.826
0.718 0.718 0.500
0.697 0.697 0.174
0.803 0.197 0.326
```

***

Nb3TePd: optimized geometry, PBE-GGA.

Computed properties:
Fermi-level density of states in states/eV/f.u.: 9.72
Energy above the lowest structure with this stoichiometry in eV/atom: 0.4406

```
Nb3TePd
1.0
-1.599 -4.661 -0.795
4.539 -1.748 1.121
-1.325 -0.364 4.799
Nb Te Pd
3 1 1
Direct
0.000 0.000 0.500
0.500 0.000 0.000
0.000 0.500 0.000
0.000 0.000 0.000
0.500 0.500 0.500
```

***

NbTe5Pd: optimized geometry, PBE-GGA.

Computed properties:
Fermi-level density of states in states/eV/f.u.: 2.34
Energy above the lowest structure with this stoichiometry in eV/atom: 0.2848

```
NbTe5Pd
1.0
6.994 -0.590 -0.576
1.659 6.820 -0.576
2.434 1.752 8.681
Te Nb Pd
10 2 2
Direct
0.337 0.174 0.438
0.584 0.256 0.975
0.826 0.663 0.062
0.174 0.337 0.938
0.134 0.866 0.750
0.416 0.744 0.025
0.663 0.826 0.562
0.744 0.416 0.525
0.866 0.134 0.250
0.256 0.584 0.475
0.571 0.429 0.250
0.429 0.571 0.750
0.000 0.000 0.500
0.000 0.000 0.000
```

***

Nb3TePd: optimized geometry, PBE-GGA.

Computed properties:
Fermi-level density of states in states/eV/f.u.: 8.46
Energy above the lowest structure with this stoichiometry in eV/atom: 0.0000

```
Nb3TePd
1.0
4.903 0.000 0.000
0.000 4.903 0.000
0.000 0.000 4.903
Pd Nb Te
1 3 1
Direct
0.000 0.000 0.000
0.000 0.000 0.500
0.500 0.000 0.000
0.000 0.500 0.000
0.500 0.500 0.500
```

***

Nb2TlTePd: optimized geometry, PBE-GGA.

Computed properties:
Fermi-level density of states in states/eV/f.u.: 4.60
Electronic total energy in eV per cell: -26.2

```
Nb2TlTePd
1.0
5.125 0.000 0.000
0.000 5.125 0.000
0.000 0.000 4.866
Nb Tl Pd Te
2 1 1 1
Direct
0.000 0.500 0.000
0.500 0.000 0.000
0.500 0.500 0.500
0.000 0.000 0.500
0.000 0.000 0.000
```

***

Th2NbPd: optimized geometry, PBE-GGA.

Computed properties:
Fermi-level density of states in states/eV/f.u.: 5.67
Energy above the lowest structure with this stoichiometry in eV/atom: 0.0000
Energy of formation from the pure elements in meV per atom: -164

```
Th2NbPd
1.0
3.683 0.000 0.000
0.000 3.683 0.000
0.000 0.000 7.307
Th Nb Pd
2 1 1
Direct
0.000 0.000 0.753
0.000 0.000 0.247
0.500 0.500 0.500
0.500 0.500 0.000
```

***

Th2NbPd: optimized geometry, PBE-GGA.

Computed properties:
Fermi-level density of states in states/eV/f.u.: 4.50
Energy above the lowest structure with this stoichiometry in eV/atom: 0.4849
Energy of formation from the pure elements in meV per atom: 321

```
Th2NbPd
1.0
-2.134 2.367 0.706
-2.255 -0.471 2.313
5.321 4.537 8.415
Pd Th Nb
1 2 1
Direct
0.500 0.500 0.500
0.091 0.091 0.728
0.909 0.909 0.272
0.000 0.000 0.000
```

***

Ti2NbPd2: optimized geometry, PBE-GGA.

Computed properties:
Fermi-level density of states in states/eV/f.u.: 6.06
Energy above the lowest structure with this stoichiometry in eV/atom: 0.0092
Energy of formation from the pure elements in meV per atom: -301

```
Ti2NbPd2
1.0
-1.954 2.203 0.971
-0.756 -1.816 2.598
5.888 2.726 5.663
Pd Nb Ti
2 1 2
Direct
0.000 0.184 0.632
0.000 0.816 0.368
0.000 0.000 0.000
0.500 0.603 0.794
0.500 0.397 0.206
```

***

Ti2NbPd7: optimized geometry, PBE-GGA.

Computed properties:
Fermi-level density of states in states/eV/f.u.: 7.95
Energy of formation from the pure elements in meV per atom: 65

```
Ti2NbPd7
1.0
3.830 0.000 0.000
0.000 7.748 -0.503
0.000 -3.944 6.687
Pd Nb Ti
7 1 2
Direct
0.500 0.085 0.292
0.000 0.207 0.793
0.500 0.708 0.915
0.500 0.500 0.500
0.500 0.292 0.085
0.000 0.793 0.207
0.500 0.915 0.708
0.000 0.000 0.000
0.500 0.685 0.315
0.500 0.315 0.685
```

***

TiNbPd2: optimized geometry, PBE-GGA.

Computed properties:
Fermi-level density of states in states/eV/f.u.: 4.62
Energy of formation from the pure elements in meV per atom: -403

```
TiNbPd2
1.0
4.058 0.000 0.000
0.000 2.776 -0.508
0.000 -1.735 6.008
Ti Pd Nb
1 2 1
Direct
0.500 0.000 0.500
0.000 0.253 0.254
0.000 0.747 0.746
0.500 0.500 0.000
```

***

Ti3NbPd6: optimized geometry, PBE-GGA.

Computed properties:
Fermi-level density of states in states/eV/f.u.: 9.90
Energy of formation from the pure elements in meV per atom: -401

```
Ti3NbPd6
1.0
-0.312 -2.778 -0.523
9.657 -0.390 -3.690
1.729 -2.218 10.742
Ti Nb Pd
6 2 12
Direct
0.250 0.908 0.913
0.750 0.646 0.507
0.250 0.594 0.112
0.750 0.406 0.888
0.750 0.092 0.087
0.250 0.354 0.493
0.750 0.041 0.717
0.250 0.959 0.283
0.750 0.731 0.305
0.750 0.370 0.113
0.250 0.189 0.920
0.750 0.504 0.671
0.750 0.780 0.726
0.250 0.269 0.695
0.250 0.630 0.887
0.250 0.220 0.274
0.750 0.119 0.482
0.250 0.496 0.329
0.250 0.881 0.518
0.750 0.811 0.080
```